1.
{"formula": "PbSe3", "functional": "GGA-PBE", "state": "relaxed", "lattice": [[7.239, 0.000, 0.000], [0.000, 7.239, 0.000], [0.000, 0.000, 7.239]], "species": ["Pb", "Pb", "Pb", "Pb", "Se", "Se", "Se", "Se", "Se", "Se", "Se", "Se", "Se", "Se", "Se", "Se"], "frac_coords": [[0.000, 0.000, 0.000], [0.000, 0.500, 0.500], [0.500, 0.000, 0.500], [0.500, 0.500, 0.000], [0.000, 0.000, 0.500], [0.000, 0.500, 0.000], [0.250, 0.250, 0.250], [0.250, 0.250, 0.750], [0.250, 0.750, 0.250], [0.250, 0.750, 0.750], [0.500, 0.000, 0.000], [0.500, 0.500, 0.500], [0.750, 0.250, 0.250], [0.750, 0.250, 0.750], [0.750, 0.750, 0.250], [0.750, 0.750, 0.750]], "sg": "No. 225", "magnetic_moment_mub_per_atom": 0.000, "volume_a3_per_fu": 95, "dft_energy_ev_per_cell": -53.0}

---

2.
{"formula": "Ba2LiCaGe", "functional": "GGA-PBE", "state": "relaxed", "lattice": [[6.567, 0.000, 0.000], [0.000, 6.567, 0.000], [0.000, 0.000, 5.769]], "species": ["Ba", "Ba", "Li", "Ca", "Ge"], "frac_coords": [[0.000, 0.500, 0.000], [0.500, 0.000, 0.000], [0.000, 0.000, 0.500], [0.500, 0.500, 0.500], [0.500, 0.500, 0.000]], "ef_ev_per_atom": -0.128, "sg": "No. 123", "magnetic_moment_mub_per_atom": 0.000, "volume_a3_per_fu": 249, "dft_energy_ev_per_cell": -13.0}

---

3.
{"formula": "CoCuHgOsRu", "functional": "GGA-PBE", "state": "relaxed", "lattice": [[2.749, 0.000, 0.000], [0.000, 4.032, 0.000], [0.000, 0.000, 13.271]], "species": ["Co", "Co", "Cu", "Cu", "Hg", "Hg", "Os", "Os", "Ru", "Ru"], "frac_coords": [[0.000, 0.000, 0.000], [0.000, 0.500, 0.500], [0.000, 0.000, 0.209], [0.000, 0.500, 0.709], [0.500, 0.000, 0.606], [0.500, 0.500, 0.106], [0.000, 0.000, 0.399], [0.000, 0.500, 0.899], [0.500, 0.000, 0.824], [0.500, 0.500, 0.324]], "ef_ev_per_atom": 0.416, "sg": "No. 38", "magnetic_moment_mub_per_atom": 0.201, "volume_a3_per_fu": 74, "dft_energy_ev_per_cell": -59.9}

---

Repeat the second record exactly.
{"formula": "Ba2LiCaGe", "functional": "GGA-PBE", "state": "relaxed", "lattice": [[6.567, 0.000, 0.000], [0.000, 6.567, 0.000], [0.000, 0.000, 5.769]], "species": ["Ba", "Ba", "Li", "Ca", "Ge"], "frac_coords": [[0.000, 0.500, 0.000], [0.500, 0.000, 0.000], [0.000, 0.000, 0.500], [0.500, 0.500, 0.500], [0.500, 0.500, 0.000]], "ef_ev_per_atom": -0.128, "sg": "No. 123", "magnetic_moment_mub_per_atom": 0.000, "volume_a3_per_fu": 249, "dft_energy_ev_per_cell": -13.0}